(1)
# Cd2Ag6Bi

A relaxed Cd2Ag6Bi crystal (GGA-PBE, the Alexandria database).

The structure in POSCAR format:
```
Cd2Ag6Bi
1.0
7.407 -4.096 0.000
7.407 4.096 0.000
-0.514 0.000 3.056
Cd Ag Bi
2 6 1
Direct
0.151 0.151 0.129 Cd
0.849 0.849 0.871 Cd
0.146 0.503 0.321 Ag
0.169 0.831 0.500 Ag
0.497 0.854 0.679 Ag
0.503 0.146 0.321 Ag
0.831 0.169 0.500 Ag
0.854 0.497 0.679 Ag
0.500 0.500 0.000 Bi
```

Computed properties:
Fermi-level density of states, states/eV/atom: 0.216
Total energy, eV per cell: -22.31
Total magnetic moment, μB/cell: 0.000
ΔE_f, eV/atom: 0.0561
Volume, Å³/cell: 185.5

***

(2)
# HfSi2Br

A relaxed HfSi2Br crystal (GGA-PBE, the Alexandria database).

The structure in POSCAR format:
```
HfSi2Br
1.0
0.000 3.388 3.388
3.388 0.000 3.388
3.388 3.388 0.000
Hf Si Br
1 2 1
Direct
0.000 0.000 0.000 Hf
0.250 0.250 0.250 Si
0.750 0.750 0.750 Si
0.500 0.500 0.500 Br
```

Computed properties:
Offset from the most stable computed form, kcal/mol of atoms: 0.00
Raw formation energy, eV per formula unit: 2.40
Fermi-level density of states, states/eV/atom: 0.771
Total energy, eV per cell: -20.08
Total magnetic moment, μB/cell: 0.000
Volume, Å³/cell: 77.8

***

(3)
# Tl2CrAu

A relaxed Tl2CrAu crystal (GGA-PBE, the Alexandria database).

The structure in POSCAR format:
```
Tl2CrAu
1.0
0.000 3.566 3.566
3.566 0.000 3.566
3.566 3.566 0.000
Tl Cr Au
2 1 1
Direct
0.000 0.000 0.000 Tl
0.250 0.250 0.250 Tl
0.750 0.750 0.750 Cr
0.500 0.500 0.500 Au
```

Computed properties:
Offset from the most stable computed form, kcal/mol of atoms: 3.35
Fermi-level density of states, states/eV/atom: 0.819
Total energy, eV per cell: -16.06
Total magnetic moment, μB/cell: 4.268
ΔE_f, eV/atom: 0.3934
Volume, Å³/cell: 90.7

***

(4)
# HfNF2

A relaxed HfNF2 crystal (GGA-PBE, the Alexandria database).

The structure in POSCAR format:
```
HfNF2
1.0
1.487 0.858 9.094
-1.487 0.858 9.094
0.000 -1.716 9.094
Hf N F
1 1 2
Direct
0.000 0.000 0.000 Hf
0.500 0.500 0.500 N
0.388 0.388 0.388 F
0.612 0.612 0.612 F
```

Computed properties:
Offset from the most stable computed form, kcal/mol of atoms: 14.11
Raw formation energy, eV per formula unit: -2.55
Fermi-level density of states, states/eV/atom: 0.195
Total energy, eV per cell: -24.57
Total magnetic moment, μB/cell: 2.968
Volume, Å³/cell: 69.6

***

(5)
# Nd6Zn2N

A relaxed Nd6Zn2N crystal (GGA-PBE, the Alexandria database).

The structure in POSCAR format:
```
Nd6Zn2N
1.0
6.711 0.000 0.000
0.000 7.213 0.000
-6.658 0.000 10.256
Nd Zn N
12 4 2
Direct
0.129 0.020 0.239 Nd
0.129 0.480 0.739 Nd
0.231 0.708 0.045 Nd
0.231 0.792 0.545 Nd
0.351 0.192 0.047 Nd
0.351 0.308 0.547 Nd
0.649 0.692 0.453 Nd
0.649 0.808 0.953 Nd
0.769 0.208 0.455 Nd
0.769 0.292 0.955 Nd
0.871 0.520 0.261 Nd
0.871 0.980 0.761 Nd
0.301 0.076 0.749 Zn
0.301 0.424 0.249 Zn
0.699 0.576 0.751 Zn
0.699 0.924 0.251 Zn
0.000 0.000 0.000 N
0.000 0.500 0.500 N
```

Computed properties:
Raw formation energy, eV per formula unit: -3.54
Fermi-level density of states, states/eV/atom: 0.848
Total energy, eV per cell: -86.05
Total magnetic moment, μB/cell: 0.000
Volume, Å³/cell: 496.5

***

(6)
# LaSm8Er6

A relaxed LaSm8Er6 crystal (GGA-PBE, the Alexandria database).

The structure in POSCAR format:
```
LaSm8Er6
1.0
4.531 2.616 6.973
-4.531 2.616 6.973
0.000 -5.232 6.973
La Sm Er
1 8 6
Direct
0.000 0.000 0.000 La
0.113 0.751 0.716 Sm
0.249 0.284 0.887 Sm
0.284 0.887 0.249 Sm
0.422 0.422 0.422 Sm
0.578 0.578 0.578 Sm
0.716 0.113 0.751 Sm
0.751 0.716 0.113 Sm
0.887 0.249 0.284 Sm
0.097 0.250 0.534 Er
0.250 0.534 0.097 Er
0.466 0.903 0.750 Er
0.534 0.097 0.250 Er
0.750 0.466 0.903 Er
0.903 0.750 0.466 Er
```

Computed properties:
Fermi-level density of states, states/eV/atom: 1.589
Total energy, eV per cell: -68.06
Total magnetic moment, μB/cell: 0.004
ΔE_f, eV/atom: 0.1333
Volume, Å³/cell: 495.9

***

Q: The highest total energy belongs to which entry?
A: Tl2CrAu